A geometry-optimized Fe2CoPbAu structure, computed with GGA-PBE.

Geometry as POSCAR:
```
Fe2CoPbAu
1.0
-1.052 3.198 -3.525
-3.369 -2.891 -1.617
-3.251 2.154 2.924
Fe Co Pb Au
2 1 1 1
direct
0.500 0.000 0.000
0.000 0.000 0.500
0.000 0.500 0.000
0.000 0.000 0.000
0.500 0.500 0.500
```

Summary:
The density of states at the Fermi level is 11.33 states/eV/cell. As for the crystal system: tetragonal. Its magnetic moment is 5.813 μB per cell. The calculation puts the total DFT energy (no corrections) at -4.49 eV/atom. Its mass density is 8.5 g cm⁻³.

A geometry-optimized TaFeCoAu structure, computed with GGA-PBE.

Geometry as POSCAR:
```
TaFeCoAu
1.0
-0.105 3.126 -2.957
0.945 -0.887 -4.104
-3.105 0.040 -2.980
Co Au Fe Ta
1 1 1 1
direct
0.000 0.000 0.000
0.750 0.750 0.750
0.500 0.500 0.500
0.250 0.250 0.250
```

Summary:
The density of states at the Fermi level is 4.15 states/eV/cell. As for the crystal system: cubic. Its magnetic moment is 1.198 μB per cell. The calculation puts the total DFT energy (no corrections) at -7.63 eV/atom. Its mass density is 14.5 g cm⁻³.

A geometry-optimized Fe2CoTeAu structure, computed with GGA-PBE.

Geometry as POSCAR:
```
Fe2CoTeAu
1.0
4.415 0.000 0.000
0.000 4.855 0.000
0.000 0.000 4.415
Fe Co Te Au
2 1 1 1
direct
0.500 0.000 0.000
0.000 0.000 0.500
0.000 0.000 0.000
0.500 0.500 0.500
0.000 0.500 0.000
```

Summary:
The density of states at the Fermi level is 4.93 states/eV/cell. As for the crystal system: tetragonal. Its magnetic moment is 7.861 μB per cell. Its formation energy from raw total energies is 0.791 eV/atom. Its mass density is 8.7 g cm⁻³.

A geometry-optimized FeCoWAu2 structure, computed with GGA-PBE.

Geometry as POSCAR:
```
FeCoWAu2
1.0
-2.794 4.162 -0.509
-1.531 -1.496 -3.828
-3.806 -2.261 2.406
Au Fe W Co
2 1 1 1
direct
0.000 0.000 0.500
0.500 0.000 0.000
0.500 0.500 0.500
0.000 0.000 0.000
0.000 0.500 0.000
```

Summary:
The density of states at the Fermi level is 7.84 states/eV/cell. As for the crystal system: tetragonal. Its magnetic moment is 4.014 μB per cell. The calculation puts the total DFT energy (no corrections) at -5.35 eV/atom. Its mass density is 10.3 g cm⁻³.

A geometry-optimized Ga2CoAu2 structure, computed with GGA-PBE.

Geometry as POSCAR:
```
Ga2CoAu2
1.0
-3.585 -3.074 -5.350
-5.029 -2.128 4.593
-1.692 2.878 -0.520
Ga Co Au
4 2 4
direct
0.164 0.664 0.500
0.836 0.336 0.500
0.664 0.836 0.500
0.336 0.164 0.500
0.000 0.000 0.000
0.500 0.500 0.000
0.143 0.357 0.000
0.357 0.857 0.000
0.643 0.143 0.000
0.857 0.643 0.000
```

Summary:
The density of states at the Fermi level is 23.04 states/eV/cell. As for the crystal system: tetragonal. Its magnetic moment is 2.864 μB per cell. As for the relative energy among the computed polymorphs: 0.470 eV/f.u. Its mass density is 11.4 g cm⁻³.

A geometry-optimized GaCo2Au structure, computed with GGA-PBE.

Geometry as POSCAR:
```
GaCo2Au
1.0
-2.915 -0.367 0.024
0.326 -2.668 -1.187
0.357 -2.467 5.640
Co Ga Au
2 1 1
direct
0.000 0.000 0.219
0.000 0.000 0.781
0.500 0.500 0.000
0.500 0.500 0.500
```

Summary:
The density of states at the Fermi level is 5.60 states/eV/cell. As for the crystal system: tetragonal. Its magnetic moment is 1.851 μB per cell. The calculation puts the total DFT energy (no corrections) at -5.09 eV/atom. Its mass density is 12.0 g cm⁻³.

A geometry-optimized Ga8Co2Au structure, computed with GGA-PBE.

Geometry as POSCAR:
```
Ga8Co2Au
1.0
-1.562 4.031 -2.346
-4.774 -0.504 4.440
1.081 2.612 5.896
Ga Co Au
8 2 1
direct
0.604 0.620 0.167
0.396 0.380 0.833
0.820 0.205 0.205
0.604 0.167 0.620
0.396 0.833 0.380
0.844 0.581 0.581
0.156 0.419 0.419
0.180 0.795 0.795
0.336 0.232 0.232
0.664 0.768 0.768
0.000 0.000 0.000
```

Summary:
The density of states at the Fermi level is 4.09 states/eV/cell. As for the crystal system: monoclinic. Its magnetic moment is 0.000 μB per cell. The calculation puts the total DFT energy (no corrections) at -3.89 eV/atom. Its mass density is 7.9 g cm⁻³.

A geometry-optimized GaCoAu3 structure, computed with GGA-PBE.

Geometry as POSCAR:
```
GaCoAu3
1.0
4.847 0.000 0.000
0.000 4.847 0.000
0.000 0.000 4.847
Co Ga Au
1 1 3
direct
0.000 0.000 0.000
0.500 0.500 0.500
0.000 0.000 0.500
0.000 0.500 0.000
0.500 0.000 0.000
```

Summary:
The density of states at the Fermi level is 6.15 states/eV/cell. As for the crystal system: cubic. Its magnetic moment is 1.985 μB per cell. As for the relative energy among the computed polymorphs: 0.000 eV/f.u. Its mass density is 10.5 g cm⁻³.

A geometry-optimized GaCo2Au structure, computed with GGA-PBE.

Geometry as POSCAR:
```
GaCo2Au
1.0
-3.558 -0.911 0.025
0.948 -3.698 0.161
-0.015 0.162 3.818
Au Co Ga
1 2 1
direct
0.500 0.500 0.500
0.000 0.000 0.500
0.000 0.500 0.000
0.500 0.000 0.000
```

Summary:
The density of states at the Fermi level is 6.01 states/eV/cell. As for the crystal system: tetragonal. Its magnetic moment is 2.130 μB per cell. The calculation puts the total DFT energy (no corrections) at -5.09 eV/atom. Its mass density is 11.9 g cm⁻³.

A geometry-optimized Ga2Co2Au structure, computed with GGA-PBE.

Geometry as POSCAR:
```
Ga2Co2Au
1.0
3.643 0.000 0.000
0.000 3.643 0.000
1.821 1.821 5.561
Ga Au Co
2 1 2
direct
0.750 0.250 0.500
0.250 0.750 0.500
0.000 0.000 0.000
0.601 0.601 0.798
0.399 0.399 0.202
```

Summary:
The density of states at the Fermi level is 5.98 states/eV/cell. As for the crystal system: tetragonal. Its magnetic moment is 1.836 μB per cell. As for the relative energy among the computed polymorphs: 1.232 eV/f.u. Its mass density is 10.2 g cm⁻³.

A geometry-optimized GaCo2Au structure, computed with GGA-PBE.

Geometry as POSCAR:
```
GaCo2Au
1.0
-3.109 -1.948 -0.431
-0.399 -0.173 3.668
-6.496 6.540 1.462
Ga Au Co
2 2 4
direct
0.500 0.500 0.000
0.250 0.750 0.500
0.000 0.000 0.000
0.750 0.250 0.500
0.183 0.625 0.250
0.875 0.817 0.750
0.567 0.125 0.250
0.375 0.433 0.750
```

Summary:
The density of states at the Fermi level is 8.52 states/eV/cell. As for the crystal system: tetragonal. Its magnetic moment is 6.287 μB per cell. The calculation puts the total DFT energy (no corrections) at -4.80 eV/atom. Its mass density is 10.4 g cm⁻³.

A geometry-optimized Ga2Co2Au structure, computed with GGA-PBE.

Geometry as POSCAR:
```
Ga2Co2Au
1.0
-4.286 -5.355 1.180
5.406 -3.875 2.051
-0.372 0.881 2.647
Au Co Ga
2 4 4
direct
0.000 0.000 0.000
0.500 0.500 0.000
0.129 0.371 0.000
0.371 0.871 0.000
0.629 0.129 0.000
0.871 0.629 0.000
0.666 0.834 0.500
0.334 0.166 0.500
0.834 0.334 0.500
0.166 0.666 0.500
```

Summary:
The density of states at the Fermi level is 6.83 states/eV/cell. As for the crystal system: tetragonal. Its magnetic moment is 0.000 μB per cell. As for the relative energy among the computed polymorphs: 0.000 eV/f.u. Its mass density is 11.1 g cm⁻³.

- Among the records above, which one has the highest magnetic moment?
  Fe2CoTeAu

- Which value of mass density does entry 2 give?
  14.5 g cm⁻³